Computed, not measured: crystalline KCrAs2O6 at its relaxed geometry at the GGA+U level of DFT.

Calculated values
Total magnetic moment (μB/cell): 1.02
SG: No. 148
Total energy (eV/atom): -6.06
D(E_F) (states/eV/atom): 0.048

The structure in POSCAR format:
```
KCrAs2O6
1.0
2.6695 1.5412 6.2354
-2.6695 1.5412 6.2354
0.0000 -3.0824 6.2354
K Cr As O
1 1 2 6
Direct
0.0000 0.0000 0.0000
0.5000 0.5000 0.5000
0.2522 0.2522 0.2522
0.7478 0.7478 0.7478
0.1078 0.4834 0.7285
0.2715 0.8922 0.5166
0.4834 0.7285 0.1078
0.5166 0.2715 0.8922
0.7285 0.1078 0.4834
0.8922 0.5166 0.2715
```